First-principles (PBE) data for a relaxed structure of HoMgAu, as listed in OQMD via LeMat-Bulk.

a = 6.8289 Å, b = 6.8289 Å, c = 6.8289 Å
α = 90.00°, β = 90.00°, γ = 90.00°
With the nearest neighbours (Å) after each atom.
Space group F-43m (No. 216)
Symmetry-distinct sites (fractional):
Ho1 0.0000 0.0000 0.0000 [4 per cell]  4 Au 2.96, 4 Mg 2.96
Mg1 0.2500 0.2500 0.7500 [4 per cell]  4 Ho 2.96
Au1 0.2500 0.2500 0.2500 [4 per cell]  4 Ho 2.96

Properties
* energy: -0.1141 Ha/atom

***

First-principles (PBE) data for a relaxed structure of NdHoMg2Au4, as listed in OQMD via LeMat-Bulk.

a = 4.9436 Å, b = 4.9436 Å, c = 6.9869 Å
α = 90.00°, β = 90.00°, γ = 90.00°
With the nearest neighbours (Å) after each atom.
Space group P4/mmm (No. 123)
Symmetry-distinct sites (fractional):
Nd1 0.0000 0.0000 0.0000 [1 per cell]  8 Au 3.08
Ho1 0.5000 0.5000 0.5000 [1 per cell]  8 Au 2.98
Mg1 0.0000 0.0000 0.5000 [1 per cell]  8 Au 2.98
Mg2 0.5000 0.5000 0.0000 [1 per cell]  8 Au 3.08
Au1 0.0000 0.5000 0.2620 [4 per cell]  2 Ho 2.98, 4 Mg 2.98-3.08, 2 Nd 3.08, 1 Au 3.33

Properties
* energy: -0.1450 Ha/atom

***

First-principles (PBE) data for a relaxed structure of HoMgAuO3, as listed in OQMD via LeMat-Bulk.

a = 3.2717 Å, b = 15.9189 Å, c = 6.9250 Å
α = 90.00°, β = 90.00°, γ = 90.00°
With the nearest neighbours (Å) after each atom.
Space group Cmcm (No. 63)
Symmetry-distinct sites (fractional):
Ho1 0.0000 0.0000 0.0000 [4 per cell]  6 O 2.24-2.38
Mg1 0.0000 0.2094 0.2500 [4 per cell]  2 O 1.86
Au1 0.0000 0.1615 0.7500 [4 per cell]  2 O 1.99
O1 0.0000 0.1401 0.0330 [8 per cell]  1 Mg 1.86, 1 Au 1.99
O2 0.0000 0.4949 0.2500 [4 per cell]  4 Ho 2.38

Properties
* energy: -0.2198 Ha/atom

***

First-principles (PBE) data for a relaxed structure of HoMg2PdAu4, as listed in OQMD via LeMat-Bulk.

a = 4.7437 Å, b = 4.7437 Å, c = 6.7528 Å
α = 90.00°, β = 90.00°, γ = 90.00°
With the nearest neighbours (Å) after each atom.
Space group P4/mmm (No. 123)
Symmetry-distinct sites (fractional):
Ho1 0.0000 0.0000 0.0000 [1 per cell]  8 Au 2.95
Mg1 0.0000 0.0000 0.5000 [1 per cell]  8 Au 2.87
Mg2 0.5000 0.5000 0.0000 [1 per cell]  8 Au 2.95
Pd1 0.5000 0.5000 0.5000 [1 per cell]  8 Au 2.87
Au1 0.0000 0.5000 0.2600 [4 per cell]  4 Mg 2.87-2.95, 2 Pd 2.87, 2 Ho 2.95

Properties
* energy: -0.1406 Ha/atom

***

First-principles (PBE) data for a relaxed structure of HoMgAuSe2S, as listed in OQMD via LeMat-Bulk.

a = 3.8482 Å, b = 13.0569 Å, c = 10.5117 Å
α = 90.00°, β = 90.00°, γ = 90.00°
With the nearest neighbours (Å) after each atom.
Space group Cmcm (No. 63)
Symmetry-distinct sites (fractional):
Ho1 0.0000 0.0000 0.0000 [4 per cell]  4 Se 2.87, 2 S 3.02
Mg1 0.0000 0.2444 0.2500 [4 per cell]  2 S 2.68, 4 Se 2.96
Au1 0.0000 0.4805 0.7500 [4 per cell]  2 S 2.59, 2 Se 2.59
Se1 0.0000 0.3467 0.5680 [8 per cell]  1 Au 2.59, 2 Ho 2.87
S1 0.0000 0.1132 0.7500 [4 per cell]  2 Au 2.59, 2 Mg 2.68

Properties
* energy: -0.1640 Ha/atom

***

First-principles (PBE) data for a relaxed structure of HoMgAuSe3, as listed in OQMD via LeMat-Bulk.

a = 3.8493 Å, b = 13.2365 Å, c = 10.6460 Å
α = 90.00°, β = 90.00°, γ = 90.00°
With the nearest neighbours (Å) after each atom.
Space group Cmcm (No. 63)
Symmetry-distinct sites (fractional):
Ho1 0.0000 0.0000 0.0000 [4 per cell]  6 Se 2.87-3.08
Mg1 0.0000 0.2211 0.2500 [4 per cell]  6 Se 2.87-2.90
Au1 0.0000 0.4763 0.7500 [4 per cell]  4 Se 2.59-2.69
Se1 0.0000 0.1178 0.7500 [4 per cell]  2 Au 2.69, 2 Mg 2.87
Se2 0.0000 0.3485 0.5657 [8 per cell]  1 Au 2.59, 2 Ho 2.87, 2 Mg 2.90

Properties
* energy: -0.1598 Ha/atom

***

First-principles (PBE) data for a relaxed structure of HoMgTeAuSe2, as listed in OQMD via LeMat-Bulk.

a = 3.9047 Å, b = 13.7174 Å, c = 10.9632 Å
α = 90.00°, β = 90.00°, γ = 90.00°
With the nearest neighbours (Å) after each atom.
Space group Cmcm (No. 63)
Symmetry-distinct sites (fractional):
Ho1 0.0000 0.0000 0.0000 [4 per cell]  4 Se 2.88, 2 Te 3.22
Mg1 0.0000 0.1953 0.2500 [4 per cell]  4 Se 2.89, 2 Au 3.06, 2 Te 3.16
Te1 0.0000 0.1236 0.7500 [4 per cell]  2 Au 2.81
Au1 0.0000 0.4764 0.7500 [4 per cell]  2 Se 2.62, 2 Te 2.81
Se1 0.0000 0.3548 0.5654 [8 per cell]  1 Au 2.62, 2 Ho 2.88, 2 Mg 2.89

Properties
* energy: -0.1552 Ha/atom

***

First-principles (PBE) data for a relaxed structure of HoMgTe2AuSe, as listed in OQMD via LeMat-Bulk.

a = 4.0531 Å, b = 14.2125 Å, c = 10.6131 Å
α = 90.00°, β = 90.00°, γ = 90.00°
With the nearest neighbours (Å) after each atom.
Space group Cmcm (No. 63)
Symmetry-distinct sites (fractional):
Ho1 0.0000 0.0000 0.0000 [4 per cell]  2 Se 3.05, 4 Te 3.09, 4 Au 3.35
Mg1 0.0000 0.2533 0.2500 [4 per cell]  2 Se 2.85, 4 Te 3.13
Te1 0.0000 0.3441 0.5668 [8 per cell]  1 Au 2.74
Au1 0.0000 0.4797 0.7500 [4 per cell]  2 Se 2.71, 2 Te 2.74
Se1 0.0000 0.1060 0.7500 [4 per cell]  2 Au 2.71, 2 Mg 2.85

Properties
* energy: -0.1473 Ha/atom

***

First-principles (PBE) data for a relaxed structure of HoMgTe3Au, as listed in OQMD via LeMat-Bulk.

a = 4.1937 Å, b = 15.1167 Å, c = 11.1356 Å
α = 90.00°, β = 90.00°, γ = 90.00°
With the nearest neighbours (Å) after each atom.
Space group Cmcm (No. 63)
Symmetry-distinct sites (fractional):
Ho1 0.0000 0.0000 0.0000 [4 per cell]  6 Te 3.14-3.15, 4 Au 3.50
Mg1 0.0000 0.1487 0.2500 [4 per cell]  2 Au 2.85, 4 Te 2.99
Te1 0.0000 0.0972 0.7500 [4 per cell]  2 Au 2.75
Te2 0.0000 0.3519 0.5592 [8 per cell]  1 Au 2.87, 2 Mg 2.99, 2 Ho 3.14
Au1 0.0000 0.4792 0.7500 [4 per cell]  4 Te 2.75-2.87, 2 Mg 2.85

Properties
* polymorph energy (0 for the lowest one): 0 meV per atom
* energy: -0.1446 Ha/atom

***

First-principles (PBE) data for a relaxed structure of HoMgTe3Au, as listed in OQMD via LeMat-Bulk.

a = 13.4454 Å, b = 4.1162 Å, c = 12.3513 Å
α = 90.00°, β = 90.00°, γ = 90.00°
With the nearest neighbours (Å) after each atom.
Space group Pnma (No. 62)
Symmetry-distinct sites (fractional):
Ho1 0.0651 0.2500 0.1829 [4 per cell]  6 Te 3.02-3.23
Mg1 0.2170 0.2500 0.4667 [4 per cell]  2 Au 2.85, 2 Te 2.99
Te1 0.0528 0.7500 0.3661 [4 per cell]  1 Au 2.71
Te2 0.0801 0.2500 0.9217 [4 per cell]  1 Au 2.69
Te3 0.2137 0.7500 0.6417 [4 per cell]  2 Au 2.97, 2 Mg 2.99, 1 Ho 3.02
Au1 0.2477 0.7500 0.3105 [4 per cell]  4 Te 2.69-2.97, 2 Mg 2.85

Properties
* polymorph energy (0 for the lowest one): 41 meV per atom
* energy: -0.1431 Ha/atom

***

First-principles (PBE) data for a relaxed structure of Ho3AuN6, as listed in OQMD via LeMat-Bulk.

a = 3.7313 Å, b = 5.6787 Å, c = 6.5234 Å
α = 99.83°, β = 99.09°, γ = 98.47°
With the nearest neighbours (Å) after each atom.
Space group P-1 (No. 2)
Symmetry-distinct sites (fractional):
Ho1 0.0000 0.0000 0.0000 [1 per cell]  8 N 2.36-2.49
Ho2 0.2808 0.4992 0.7109 [2 per cell]  7 N 2.30-2.45
Au1 0.5000 0.0000 0.5000 [1 per cell]  4 N 2.20-2.28
N1 0.2019 0.2719 0.3548 [2 per cell]  1 Au 2.28, 4 Ho 2.30-2.49
N2 0.2576 0.7389 0.2032 [2 per cell]  1 N 1.32
N3 0.4559 0.7499 0.0539 [2 per cell]  1 N 1.32

Properties
* energy: -0.2674 Ha/atom

***

First-principles (PBE) data for a relaxed structure of HoAuNO, as listed in OQMD via LeMat-Bulk.

a = 7.0128 Å, b = 7.0233 Å, c = 4.8616 Å
α = 90.00°, β = 90.00°, γ = 90.00°
With the nearest neighbours (Å) after each atom.
Space group Pca2_1 (No. 29)
Symmetry-distinct sites (fractional):
Ho1 0.0806 0.1598 0.0000 [4 per cell]  1 O 2.21, 4 N 2.29-2.45
Au1 0.1420 0.7026 0.0009 [4 per cell]  1 N 2.07, 1 O 2.08
N1 0.0956 0.1219 0.4993 [4 per cell]  1 Au 2.07, 1 Ho 2.29
O1 0.0903 0.5765 0.5106 [4 per cell]  1 Au 2.08, 1 Ho 2.21

Properties
* polymorph energy (0 for the lowest one): 383 meV per atom
* energy: -0.2245 Ha/atom

***

First-principles (PBE) data for a relaxed structure of HoAuNO, as listed in OQMD via LeMat-Bulk.

a = 5.6869 Å, b = 7.6469 Å, c = 5.5496 Å
α = 90.00°, β = 90.00°, γ = 90.00°
With the nearest neighbours (Å) after each atom.
Space group Pca2_1 (No. 29)
Symmetry-distinct sites (fractional):
Ho1 0.0411 0.1311 0.0000 [4 per cell]  4 O 2.21-2.29, 1 N 2.39
Au1 0.0660 0.4686 0.6455 [4 per cell]  3 N 2.16-2.18
N1 0.1469 0.3300 0.3128 [4 per cell]  3 Au 2.16-2.18, 1 Ho 2.39
O1 0.2476 0.9619 0.2430 [4 per cell]  4 Ho 2.21-2.29

Properties
* polymorph energy (0 for the lowest one): 0 meV per atom
* energy: -0.2386 Ha/atom

***

First-principles (PBE) data for a relaxed structure of HoAuNO, as listed in OQMD via LeMat-Bulk.

a = 4.9034 Å, b = 4.9034 Å, c = 4.4981 Å
α = 90.00°, β = 90.00°, γ = 90.00°
With the nearest neighbours (Å) after each atom.
Space group P4/nmm (No. 129, origin choice 2)
Symmetry-distinct sites (fractional):
Ho1 0.2500 0.7500 0.0000 [2 per cell]  2 O 2.25, 4 N 2.45
Au1 0.2500 0.2500 0.4952 [2 per cell]  2 N 2.25, 4 O 2.45
N1 0.2500 0.2500 0.9953 [2 per cell]  2 Au 2.25, 4 Ho 2.45
O1 0.2500 0.7500 0.5000 [2 per cell]  2 Ho 2.25, 4 Au 2.45

Properties
* polymorph energy (0 for the lowest one): 265 meV per atom
* energy: -0.2289 Ha/atom

***

First-principles (PBE) data for a relaxed structure of HoAuNO, as listed in OQMD via LeMat-Bulk.

a = 4.0367 Å, b = 7.2715 Å, c = 5.1679 Å
α = 90.00°, β = 90.00°, γ = 90.00°
With the nearest neighbours (Å) after each atom.
Space group Pmc2_1 (No. 26)
Symmetry-distinct sites (fractional):
Ho1 0.0000 0.1569 0.0000 [2 per cell]  2 O 2.06-2.11, 2 N 2.30
Au1 0.5000 0.4739 0.6102 [2 per cell]  2 N 1.99-2.04
N1 0.5000 0.2902 0.8950 [2 per cell]  2 Au 1.99-2.04
O1 0.0000 0.1187 0.4043 [2 per cell]  2 Ho 2.06-2.11

Properties
* polymorph energy (0 for the lowest one): 183 meV per atom
* energy: -0.2319 Ha/atom

***

First-principles (PBE) data for a relaxed structure of HoAuNO, as listed in OQMD via LeMat-Bulk.

a = 3.9155 Å, b = 3.9155 Å, c = 7.4737 Å
α = 90.00°, β = 90.00°, γ = 90.00°
With the nearest neighbours (Å) after each atom.
Space group P4/nmm (No. 129, origin choice 2)
Symmetry-distinct sites (fractional):
Ho1 0.2500 0.2500 0.1425 [2 per cell]  4 O 2.23
Au1 0.2500 0.7500 0.5000 [2 per cell]  4 N 2.41
N1 0.2500 0.2500 0.6880 [2 per cell]  4 Au 2.41
O1 0.2500 0.7500 0.0000 [2 per cell]  4 Ho 2.23

Properties
* polymorph energy (0 for the lowest one): 304 meV per atom
* energy: -0.2274 Ha/atom

***

First-principles (PBE) data for a relaxed structure of HoAuNO, as listed in OQMD via LeMat-Bulk.

a = 3.7693 Å, b = 6.1314 Å, c = 5.6695 Å
α = 90.00°, β = 90.00°, γ = 90.00°
With the nearest neighbours (Å) after each atom.
Space group Pmc2_1 (No. 26)
Symmetry-distinct sites (fractional):
Ho1 0.0000 0.2112 0.0000 [2 per cell]  2 O 2.16, 2 N 2.26
Au1 0.5000 0.2426 0.4930 [2 per cell]  2 N 2.06
N1 0.0000 0.1442 0.3914 [2 per cell]  2 Au 2.06, 2 Ho 2.26
O1 0.5000 0.3513 0.8940 [2 per cell]  2 Ho 2.16, 1 Au 2.37

Properties
* polymorph energy (0 for the lowest one): 273 meV per atom
* energy: -0.2286 Ha/atom

***

First-principles (PBE) data for a relaxed structure of NaHoAu, as listed in OQMD via LeMat-Bulk.

a = 6.8787 Å, b = 6.8787 Å, c = 6.8787 Å
α = 90.00°, β = 90.00°, γ = 90.00°
With the nearest neighbours (Å) after each atom.
Space group F-43m (No. 216)
Symmetry-distinct sites (fractional):
Na1 0.0000 0.0000 0.0000 [4 per cell]  4 Au 2.98
Ho1 0.0000 0.0000 0.5000 [4 per cell]  4 Au 2.98
Au1 0.2500 0.2500 0.7500 [4 per cell]  4 Na 2.98, 4 Ho 2.98

Properties
* polymorph energy (0 for the lowest one): 0 meV per atom
* energy: -0.1233 Ha/atom

***

First-principles (PBE) data for a relaxed structure of NaHoAuSe3, as listed in OQMD via LeMat-Bulk.

a = 3.9748 Å, b = 14.2499 Å, c = 10.5594 Å
α = 90.00°, β = 90.00°, γ = 90.00°
With the nearest neighbours (Å) after each atom.
Space group Cmcm (No. 63)
Symmetry-distinct sites (fractional):
Na1 0.0000 0.2328 0.2500 [4 per cell]  6 Se 3.15-3.20, 2 Au 3.50
Ho1 0.0000 0.0000 0.0000 [4 per cell]  6 Se 2.88-2.94
Au1 0.0000 0.4698 0.7500 [4 per cell]  4 Se 2.58-2.64
Se1 0.0000 0.0914 0.7500 [4 per cell]  2 Au 2.64, 2 Ho 2.94
Se2 0.0000 0.3599 0.5556 [8 per cell]  1 Au 2.58, 2 Ho 2.88

Properties
* energy: -0.1580 Ha/atom

***

First-principles (PBE) data for a relaxed structure of HoNbAu, as listed in OQMD via LeMat-Bulk.

a = 6.6823 Å, b = 6.6823 Å, c = 6.6823 Å
α = 90.00°, β = 90.00°, γ = 90.00°
With the nearest neighbours (Å) after each atom.
Space group F-43m (No. 216)
Symmetry-distinct sites (fractional):
Ho1 0.0000 0.0000 0.0000 [4 per cell]  4 Nb 2.89, 4 Au 2.89
Nb1 0.2500 0.2500 0.2500 [4 per cell]  4 Ho 2.89
Au1 0.2500 0.2500 0.7500 [4 per cell]  4 Ho 2.89

Properties
* polymorph energy (0 for the lowest one): 187 meV per atom
* ΔE_f: 768 meV per atom
* energy: -0.1915 Ha/atom

***

First-principles (PBE) data for a relaxed structure of HoNbAu, as listed in OQMD via LeMat-Bulk.

a = 6.5713 Å, b = 6.5713 Å, c = 6.5713 Å
α = 90.00°, β = 90.00°, γ = 90.00°
With the nearest neighbours (Å) after each atom.
Space group F-43m (No. 216)
Symmetry-distinct sites (fractional):
Ho1 0.0000 0.0000 0.0000 [4 per cell]  4 Nb 2.85
Nb1 0.2500 0.2500 0.7500 [4 per cell]  4 Ho 2.85, 4 Au 2.85
Au1 0.0000 0.0000 0.5000 [4 per cell]  4 Nb 2.85

Properties
* polymorph energy (0 for the lowest one): 0 meV per atom
* ΔE_f: 580 meV per atom
* energy: -0.1984 Ha/atom

***

First-principles (PBE) data for a relaxed structure of NdHoSn2Au2, as listed in OQMD via LeMat-Bulk.

a = 4.7362 Å, b = 4.7362 Å, c = 7.5224 Å
α = 90.00°, β = 90.00°, γ = 120.00°
With the nearest neighbours (Å) after each atom.
Space group P3m1 (No. 156)
Symmetry-distinct sites (fractional):
Nd1 0.0000 0.0000 0.0000 [1 per cell]  3 Au 3.10, 6 Sn 3.23-3.45
Ho1 0.0000 0.0000 0.5020 [1 per cell]  3 Au 3.01, 3 Sn 3.20
Sn1 0.3333 0.6667 0.7715 [1 per cell]  3 Au 2.84
Sn2 0.6667 0.3333 0.2803 [1 per cell]  4 Au 2.81-2.92
Au1 0.3333 0.6667 0.1948 [1 per cell]  3 Sn 2.81, 3 Nd 3.10
Au2 0.6667 0.3333 0.6681 [1 per cell]  4 Sn 2.84-2.92, 3 Ho 3.01

Properties
* energy: -0.1766 Ha/atom

***

First-principles (PBE) data for a relaxed structure of NdHoZn2Au4, as listed in OQMD via LeMat-Bulk.

a = 4.8846 Å, b = 4.8846 Å, c = 6.9044 Å
α = 90.00°, β = 90.00°, γ = 90.00°
With the nearest neighbours (Å) after each atom.
Space group P4/mmm (No. 123)
Symmetry-distinct sites (fractional):
Nd1 0.0000 0.0000 0.0000 [1 per cell]  8 Au 3.04
Ho1 0.5000 0.5000 0.5000 [1 per cell]  8 Au 2.94
Zn1 0.0000 0.0000 0.5000 [1 per cell]  8 Au 2.94
Zn2 0.5000 0.5000 0.0000 [1 per cell]  8 Au 3.04
Au1 0.0000 0.5000 0.2623 [4 per cell]  2 Ho 2.94, 4 Zn 2.94-3.04, 2 Nd 3.04, 1 Au 3.28

Properties
* ΔE_f: -610 meV per atom
* energy: -0.1370 Ha/atom